First-principles (PBE) data for crystalline BaNa2RhCl at its relaxed geometry, as listed in the Alexandria database.

Calculated values
For the calculated volume, the calculation gives 167.7 Å³/cell. The formation energy from raw total energies is -0.37 eV/atom. Its space-group type is P4/mmm.

Cell lengths 5.3849, 5.7822, 5.3849 Å; angles 90.00, 90.00, 90.00 degrees
Positions (direct):
Na (0.5000, 0.0000, 0.0000)
Na (0.0000, 0.0000, 0.5000)
Rh (0.0000, 0.0000, 0.0000)
Ba (0.0000, 0.5000, 0.0000)
Cl (0.5000, 0.5000, 0.5000)

First-principles (PBE) data for crystalline BaNaSCl at its relaxed geometry, as listed in the Alexandria database.

Calculated values
For the calculated volume, the calculation gives 104.0 Å³/cell. The formation energy from raw total energies is -1.76 eV/atom. Its space-group type is F-43m.

Cell lengths 5.2782, 5.2782, 5.2782 Å; angles 60.00, 60.00, 60.00 degrees
Positions (direct):
Ba (0.7500, 0.7500, 0.7500)
S (0.5000, 0.5000, 0.5000)
Na (0.2500, 0.2500, 0.2500)
Cl (0.0000, 0.0000, 0.0000)

First-principles (PBE) data for crystalline BaNa2SbCl at its relaxed geometry, as listed in the Alexandria database.

Calculated values
For the calculated volume, the calculation gives 167.7 Å³/cell. The formation energy from raw total energies is -1.03 eV/atom. Its space-group type is P4/mmm.

Cell lengths 5.2332, 5.2332, 6.1223 Å; angles 90.00, 90.00, 90.00 degrees
Positions (direct):
Na (0.5000, 0.0000, 0.0000)
Na (0.0000, 0.5000, 0.0000)
Cl (0.0000, 0.0000, 0.0000)
Ba (0.0000, 0.0000, 0.5000)
Sb (0.5000, 0.5000, 0.5000)

Q: What is the formula in the first record?
A: BaNa2RhCl

Q: What is the formation energy from raw total energies in the second record?
A: -1.76 eV/atom